DFT (PBE-GGA) results for a relaxed structure of Ca3Al5O12.

Results
The formation energy from raw total energies is -2.685 eV/atom.

a b c (Å): 10.5937 10.5937 10.5937
angles (deg): 109.47 109.47 109.47
With the nearest neighbours (Å) after each atom.
Fractional coordinates of all 80 atoms:
Ca1 0.1250 0.2500 0.3750  8 O 2.38-2.54
Ca2 0.1250 0.3750 0.7500  8 O 2.38-2.54
Ca3 0.2500 0.3750 0.1250  8 O 2.38-2.54
Ca4 0.2500 0.8750 0.6250  8 O 2.38-2.54
Ca5 0.3750 0.1250 0.2500  8 O 2.38-2.54
Ca6 0.3750 0.7500 0.1250  8 O 2.38-2.54
Ca7 0.6250 0.2500 0.8750  8 O 2.38-2.54
Ca8 0.6250 0.8750 0.7500  8 O 2.38-2.54
Ca9 0.7500 0.1250 0.3750  8 O 2.38-2.54
Ca10 0.7500 0.6250 0.8750  8 O 2.38-2.54
Ca11 0.8750 0.6250 0.2500  8 O 2.38-2.54
Ca12 0.8750 0.7500 0.6250  8 O 2.38-2.54
Al1 0.0000 0.0000 0.0000  6 O 1.93
Al2 0.0000 0.0000 0.5000  6 O 1.93
Al3 0.0000 0.5000 0.0000  6 O 1.93
Al4 0.0000 0.5000 0.5000  6 O 1.93
Al5 0.1250 0.7500 0.8750  4 O 1.78
Al6 0.1250 0.8750 0.2500  4 O 1.78
Al7 0.2500 0.1250 0.8750  4 O 1.78
Al8 0.2500 0.6250 0.3750  4 O 1.78
Al9 0.3750 0.2500 0.6250  4 O 1.78
Al10 0.3750 0.6250 0.7500  4 O 1.78
Al11 0.5000 0.0000 0.0000  6 O 1.93
Al12 0.5000 0.0000 0.5000  6 O 1.93
Al13 0.5000 0.5000 0.0000  6 O 1.93
Al14 0.5000 0.5000 0.5000  6 O 1.93
Al15 0.6250 0.3750 0.2500  4 O 1.78
Al16 0.6250 0.7500 0.3750  4 O 1.78
Al17 0.7500 0.3750 0.6250  4 O 1.78
Al18 0.7500 0.8750 0.1250  4 O 1.78
Al19 0.8750 0.1250 0.7500  4 O 1.78
Al20 0.8750 0.2500 0.1250  4 O 1.78
O1 0.0127 0.1930 0.1130  2 Al 1.78-1.93
O2 0.0127 0.3197 0.8997  2 Al 1.78-1.93
O3 0.0800 0.6930 0.6803  2 Al 1.78-1.93
O4 0.0800 0.8870 0.3997  2 Al 1.78-1.93
O5 0.1003 0.6130 0.4200  2 Al 1.78-1.93
O6 0.1003 0.9873 0.6803  2 Al 1.78-1.93
O7 0.1130 0.0127 0.1930  2 Al 1.78-1.93
O8 0.1130 0.6003 0.9200  2 Al 1.78-1.93
O9 0.1803 0.1930 0.5800  2 Al 1.78-1.93
O10 0.1803 0.4873 0.6003  2 Al 1.78-1.93
O11 0.1930 0.1130 0.0127  2 Al 1.78-1.93
O12 0.1930 0.5800 0.1803  2 Al 1.78-1.93
O13 0.3070 0.3197 0.9200  2 Al 1.78-1.93
O14 0.3070 0.4873 0.3870  2 Al 1.78-1.93
O15 0.3197 0.8997 0.0127  2 Al 1.78-1.93
O16 0.3197 0.9200 0.3070  2 Al 1.78-1.93
O17 0.3870 0.3070 0.4873  2 Al 1.78-1.93
O18 0.3870 0.5800 0.8997  2 Al 1.78-1.93
O19 0.3997 0.0800 0.8870  2 Al 1.78-1.93
O20 0.3997 0.8197 0.5127  2 Al 1.78-1.93
O21 0.4200 0.1003 0.6130  2 Al 1.78-1.93
O22 0.4200 0.8197 0.8070  2 Al 1.78-1.93
O23 0.4873 0.3870 0.3070  2 Al 1.78-1.93
O24 0.4873 0.6003 0.1803  2 Al 1.78-1.93
O25 0.5127 0.3997 0.8197  2 Al 1.78-1.93
O26 0.5127 0.6130 0.6930  2 Al 1.78-1.93
O27 0.5800 0.1803 0.1930  2 Al 1.78-1.93
O28 0.5800 0.8997 0.3870  2 Al 1.78-1.93
O29 0.6003 0.1803 0.4873  2 Al 1.78-1.93
O30 0.6003 0.9200 0.1130  2 Al 1.78-1.93
O31 0.6130 0.4200 0.1003  2 Al 1.78-1.93
O32 0.6130 0.6930 0.5127  2 Al 1.78-1.93
O33 0.6803 0.0800 0.6930  2 Al 1.78-1.93
O34 0.6803 0.1003 0.9873  2 Al 1.78-1.93
O35 0.6930 0.5127 0.6130  2 Al 1.78-1.93
O36 0.6930 0.6803 0.0800  2 Al 1.78-1.93
O37 0.8070 0.4200 0.8197  2 Al 1.78-1.93
O38 0.8070 0.8870 0.9873  2 Al 1.78-1.93
O39 0.8197 0.5127 0.3997  2 Al 1.78-1.93
O40 0.8197 0.8070 0.4200  2 Al 1.78-1.93
O41 0.8870 0.3997 0.0800  2 Al 1.78-1.93
O42 0.8870 0.9873 0.8070  2 Al 1.78-1.93
O43 0.8997 0.0127 0.3197  2 Al 1.78-1.93
O44 0.8997 0.3870 0.5800  2 Al 1.78-1.93
O45 0.9200 0.1130 0.6003  2 Al 1.78-1.93
O46 0.9200 0.3070 0.3197  2 Al 1.78-1.93
O47 0.9873 0.6803 0.1003  2 Al 1.78-1.93
O48 0.9873 0.8070 0.8870  2 Al 1.78-1.93

***

DFT (PBE-GGA) results for a relaxed structure of Ho6PuSe8.

Results
The formation energy from raw total energies is -1.763 eV/atom.

a b c (Å): 8.1003 8.1003 8.1003
angles (deg): 60.00 60.00 60.00
With the nearest neighbours (Å) after each atom.
Fractional coordinates of all 15 atoms:
Ho1 0.0000 0.0000 0.5000  6 Se 2.86-2.87
Ho2 0.0000 0.5000 0.0000  6 Se 2.86-2.87
Ho3 0.0000 0.5000 0.5000  6 Se 2.86-2.87
Ho4 0.5000 0.0000 0.0000  6 Se 2.86-2.87
Ho5 0.5000 0.0000 0.5000  6 Se 2.86-2.87
Ho6 0.5000 0.5000 0.0000  6 Se 2.86-2.87
Pu1 0.0000 0.0000 0.0000  6 Se 2.95
Se1 0.2500 0.2500 0.2500  6 Ho 2.86
Se2 0.2573 0.2573 0.7427  4 Ho 2.87, 1 Pu 2.95
Se3 0.2573 0.7427 0.2573  4 Ho 2.87, 1 Pu 2.95
Se4 0.2573 0.7427 0.7427  4 Ho 2.87, 1 Pu 2.95
Se5 0.7427 0.2573 0.2573  4 Ho 2.87, 1 Pu 2.95
Se6 0.7427 0.2573 0.7427  4 Ho 2.87, 1 Pu 2.95
Se7 0.7427 0.7427 0.2573  4 Ho 2.87, 1 Pu 2.95
Se8 0.7500 0.7500 0.7500  6 Ho 2.86

***

DFT (PBE-GGA) results for a relaxed structure of Ti3OsW.

Results
For the relative energy among the computed polymorphs, the calculation gives 0 meV per atom.

a b c (Å): 8.1720 8.1720 4.4822
angles (deg): 90.00 90.00 148.14
With the nearest neighbours (Å) after each atom.
Fractional coordinates of all 10 atoms:
Ti1 0.0579 0.9421 0.7500  2 W 2.64, 2 Os 2.67, 4 Ti 2.89-2.90
Ti2 0.2497 0.7503 0.7500  4 Os 2.74, 4 W 2.76-2.77, 2 Ti 3.00-3.02
Ti3 0.4404 0.5596 0.7500  2 W 2.63, 2 Os 2.65, 4 Ti 2.90-2.92
Ti4 0.5596 0.4404 0.2500  2 W 2.63, 2 Os 2.65, 4 Ti 2.90-2.92
Ti5 0.7503 0.2497 0.2500  4 Os 2.74, 4 W 2.76-2.77, 2 Ti 3.00-3.02
Ti6 0.9421 0.0579 0.2500  2 W 2.64, 2 Os 2.67, 4 Ti 2.89-2.90
Os1 0.3501 0.6499 0.2500  8 Ti 2.65-2.74
Os2 0.6499 0.3501 0.7500  8 Ti 2.65-2.74
W1 0.1468 0.8532 0.2500  8 Ti 2.63-2.77
W2 0.8532 0.1468 0.7500  8 Ti 2.63-2.77

***

DFT (PBE-GGA) results for a relaxed structure of SrGdTlCd.

a b c (Å): 5.5644 5.5644 5.5644
angles (deg): 60.00 60.00 60.00
With the nearest neighbours (Å) after each atom.
Fractional coordinates of all 4 atoms:
Sr1 0.0000 0.0000 0.0000  4 Cd 3.41, 4 Tl 3.41
Gd1 0.5000 0.5000 0.5000  4 Cd 3.41, 4 Tl 3.41
Tl1 0.2500 0.2500 0.2500  4 Gd 3.41, 4 Sr 3.41
Cd1 0.7500 0.7500 0.7500  4 Gd 3.41, 4 Sr 3.41

***

DFT (PBE-GGA) results for a relaxed structure of Ni2PtRh.

a b c (Å): 2.6928 2.6928 7.2420
angles (deg): 90.00 90.00 90.00
With the nearest neighbours (Å) after each atom.
Fractional coordinates of all 4 atoms:
Ni1 0.0000 0.0000 0.0000  8 Ni 2.49-2.69, 4 Rh 2.59
Ni2 0.5000 0.5000 0.2223  8 Ni 2.49-2.69, 4 Pt 2.65
Pt1 0.0000 0.0000 0.4764  4 Ni 2.65, 4 Pt 2.69, 4 Rh 2.79
Rh1 0.5000 0.5000 0.7584  4 Ni 2.59, 4 Rh 2.69, 4 Pt 2.79

***

DFT (PBE-GGA) results for a relaxed structure of Zn2IrOs.

Results
For the relative energy among the computed polymorphs, the calculation gives 236 meV per atom.

a b c (Å): 3.8662 3.8662 3.8306
angles (deg): 90.00 90.00 90.00
With the nearest neighbours (Å) after each atom.
Fractional coordinates of all 4 atoms:
Zn1 0.0000 0.5000 0.0000  4 Os 2.72, 4 Ir 2.72, 4 Zn 2.73
Zn2 0.5000 0.0000 0.0000  4 Os 2.72, 4 Ir 2.72, 4 Zn 2.73
Ir1 0.0000 0.0000 0.5000  8 Zn 2.72, 4 Os 2.73
Os1 0.5000 0.5000 0.5000  8 Zn 2.72, 4 Ir 2.73

***

DFT (PBE-GGA) results for a relaxed structure of ScRe2Au.

Results
For the relative energy among the computed polymorphs, the calculation gives 205 meV per atom.

a b c (Å): 3.8743 3.8743 4.4021
angles (deg): 90.00 90.00 90.00
With the nearest neighbours (Å) after each atom.
Fractional coordinates of all 4 atoms:
Sc1 0.0000 0.0000 0.0000  4 Au 2.74, 8 Re 2.93
Re1 0.0000 0.5000 0.5000  4 Re 2.74, 4 Sc 2.93, 4 Au 2.93
Re2 0.5000 0.0000 0.5000  4 Re 2.74, 4 Sc 2.93, 4 Au 2.93
Au1 0.5000 0.5000 0.0000  4 Sc 2.74, 8 Re 2.93

***

DFT (PBE-GGA) results for a relaxed structure of Ti3PtN.

Results
The formation energy from raw total energies is -0.802 eV/atom.

a b c (Å): 8.1834 8.1834 6.1434
angles (deg): 98.59 98.59 23.97
With the nearest neighbours (Å) after each atom.
Fractional coordinates of all 10 atoms:
Ti1 0.0477 0.0477 0.2609  2 N 1.94
Ti2 0.3098 0.3098 0.8835  1 N 1.96
Ti3 0.3223 0.3223 0.3995  1 N 1.95
Ti4 0.6777 0.6777 0.6005  1 N 1.95
Ti5 0.6902 0.6902 0.1165  1 N 1.96
Ti6 0.9523 0.9523 0.7391  2 N 1.94
Pt1 0.1124 0.1124 0.8400  5 Ti 2.54-2.58
Pt2 0.8876 0.8876 0.1600  5 Ti 2.54-2.58
N1 0.3948 0.3948 0.6845  4 Ti 1.94-1.96
N2 0.6052 0.6052 0.3155  4 Ti 1.94-1.96

***

DFT (PBE-GGA) results for a relaxed structure of LaPmSbO2.

Results
The formation energy from raw total energies is -2.666 eV/atom.

a b c (Å): 7.5144 7.5144 7.5144
angles (deg): 149.02 149.02 44.38
With the nearest neighbours (Å) after each atom.
Fractional coordinates of all 5 atoms:
La1 0.0000 0.0000 0.0000  4 O 2.36
Pm1 0.3269 0.3269 0.0000  4 O 2.32
Sb1 0.6668 0.6668 0.0000  4 Pm 3.61, 4 La 3.67, 4 O 3.95, 4 Sb 4.01
O1 0.4110 0.9110 0.5000  2 Pm 2.32, 2 La 2.36
O2 0.9110 0.4110 0.5000  2 Pm 2.32, 2 La 2.36

***

DFT (PBE-GGA) results for a relaxed structure of Sr3IrN.

Results
For the relative energy among the computed polymorphs, the calculation gives 0 meV per atom. The formation energy from raw total energies is -0.146 eV/atom.

a b c (Å): 5.0667 5.0667 5.0667
angles (deg): 90.00 90.00 90.00
With the nearest neighbours (Å) after each atom.
Fractional coordinates of all 5 atoms:
Sr1 0.0000 0.0000 0.5000  2 N 2.53
Sr2 0.0000 0.5000 0.0000  2 N 2.53
Sr3 0.5000 0.0000 0.0000  2 N 2.53
Ir1 0.5000 0.5000 0.5000  12 Sr 3.58
N1 0.0000 0.0000 0.0000  6 Sr 2.53

***

Quick rundown of VASP energy, same order as above: -6.8958 -6.4080 -9.8331 -5.0986 -6.2348 -5.4109 -8.5451 -8.4118 -7.4098 -4.5924 eV/atom